Material: CaBW3
Method: DFT, PBE-GGA
State: optimized geometry

Values from the calculation:
- energy of formation from the pure elements (eV per atom) = 0.671
- magnetic moment (μB/f.u.) = 0.00
- space group = Pm-3m, No. 221
- excess energy over the best structure of this formula in the dataset (kJ/mol of atoms) = 0.00
- total DFT energy (no corrections) (eV for the cell shown) = -44.2
- volume (Å³/cell) = 82.86

Unit cell a=4.360 b=4.360 c=4.360 alpha=90.00 beta=90.00 gamma=90.00
Positions (direct):
W1 0.000 0.000 0.500
B1 0.000 0.000 0.000
Ca1 0.500 0.500 0.500
W2 0.000 0.500 0.000
W3 0.500 0.000 0.000